[1]
A plane-wave DFT calculation with PBE was carried out for ScMn5Co after structural relaxation.

abc: 4.7086 7.8402 9.6624
angles: 90.00 90.00 90.00
With the nearest neighbours (Å) after each atom.
Sites, in units of the cell vectors:
Mn1 0.7500 0.3102 0.7408  6 Mn 2.26-2.52
Mn2 0.7500 0.8102 0.7592  6 Mn 2.26-2.52
Mn3 0.2500 0.5840 0.0285  5 Mn 2.38-2.40
Mn4 0.7500 0.5495 0.5866  1 Co 2.37, 4 Mn 2.40-2.64
Mn5 0.4851 0.5771 0.8077  4 Mn 2.21-2.40
Mn6 0.2500 0.6898 0.2592  6 Mn 2.26-2.52
Mn7 0.2500 0.9505 0.0866  1 Co 2.37, 4 Mn 2.40-2.64
Co1 0.2500 0.3634 0.6477  7 Mn 2.37-2.55
Mn8 0.2500 0.4505 0.4134  1 Co 2.37, 4 Mn 2.40-2.64
Co2 0.7500 0.1366 0.1477  7 Mn 2.37-2.55
Sc1 0.7500 0.7506 0.0667  11 Mn 2.72-3.04, 1 Co 2.90
Mn9 0.9851 0.4229 0.1923  4 Mn 2.21-2.40
Mn10 0.0149 0.5771 0.8077  4 Mn 2.21-2.40
Mn11 0.7500 0.0495 0.9134  1 Co 2.37, 4 Mn 2.40-2.64
Mn12 0.7500 0.9160 0.5285  5 Mn 2.38-2.40
Mn13 0.2500 0.1898 0.2408  6 Mn 2.26-2.52
Mn14 0.7500 0.4160 0.9715  5 Mn 2.38-2.40
Sc2 0.7500 0.2506 0.4333  11 Mn 2.72-3.04, 1 Co 2.90
Mn15 0.0149 0.0771 0.6923  4 Mn 2.21-2.40
Co3 0.7500 0.6366 0.3523  7 Mn 2.37-2.55
Mn16 0.9851 0.9229 0.3077  4 Mn 2.21-2.40
Mn17 0.4851 0.0771 0.6923  4 Mn 2.21-2.40
Mn18 0.5149 0.9229 0.3077  4 Mn 2.21-2.40
Co4 0.2500 0.8634 0.8523  7 Mn 2.37-2.55
Mn19 0.2500 0.0840 0.4715  5 Mn 2.38-2.40
Mn20 0.5149 0.4229 0.1923  4 Mn 2.21-2.40
Sc3 0.2500 0.7494 0.5667  11 Mn 2.72-3.04, 1 Co 2.90
Sc4 0.2500 0.2494 0.9333  11 Mn 2.72-3.04, 1 Co 2.90

Summary:
Energy of formation from the pure elements   -0.003 eV per atom
Final energy   -8.472 eV per atom

---

[2]
A plane-wave DFT calculation with PBE was carried out for ScMn2Co after structural relaxation.

abc: 5.1993 5.1993 5.1993
angles: 145.95 130.40 61.53
With the nearest neighbours (Å) after each atom.
Sites, in units of the cell vectors:
Mn1 0.4697 0.4697 0.0000  2 Co 2.48, 4 Mn 2.71
Co1 0.2500 0.7500 0.5000  4 Mn 2.48, 4 Sc 2.66
Sc1 0.7500 0.2500 0.5000  4 Co 2.66, 8 Mn 2.93
Mn2 0.0303 0.0303 0.0000  2 Co 2.48, 4 Mn 2.71

Summary:
Energy of formation from the pure elements   0.049 eV per atom
Final energy   -7.895 eV per atom
Energy above the most stable polymorph in this dataset   95.5 meV per atom

---

[3]
A plane-wave DFT calculation with PBE was carried out for ScMnCo2 after structural relaxation.

abc: 3.8054 3.8054 9.0065
angles: 77.80 77.80 90.00
With the nearest neighbours (Å) after each atom.
Sites, in units of the cell vectors:
Co1 0.3750 0.2922 0.7500  2 Co 2.29, 2 Mn 2.43
Sc1 0.5000 0.5000 0.0000  4 Co 2.67, 4 Mn 2.69
Co2 0.8750 0.9578 0.7500  2 Co 2.29, 2 Mn 2.43
Sc2 0.2500 0.7500 0.5000  4 Co 2.67, 4 Mn 2.69
Mn1 0.7500 0.2500 0.5000  4 Co 2.43, 4 Sc 2.69
Co3 0.7078 0.1250 0.2500  2 Co 2.29, 2 Mn 2.43
Co4 0.0422 0.6250 0.2500  2 Co 2.29, 2 Mn 2.43
Mn2 0.0000 0.0000 0.0000  4 Co 2.43, 4 Sc 2.69

Summary:
Energy of formation from the pure elements   0.411 eV per atom
Final energy   -7.018 eV per atom

---

[4]
A plane-wave DFT calculation with PBE was carried out for Sc6MnCo2 after structural relaxation.

abc: 7.6752 7.6752 7.6752
angles: 106.05 110.20 112.22
With the nearest neighbours (Å) after each atom.
Sites, in units of the cell vectors:
Sc1 0.5432 0.8176 0.7256  3 Co 2.70-2.76, 1 Mn 2.87
Sc2 0.4568 0.1824 0.2744  3 Co 2.70-2.76, 1 Mn 2.87
Co1 0.5000 0.8788 0.3788  1 Co 2.24
Sc3 0.8054 0.5581 0.7528  1 Co 2.54, 1 Mn 2.83
Sc4 0.1946 0.9474 0.7528  1 Co 2.54, 1 Mn 2.83
Sc5 0.8054 0.0526 0.2472  1 Co 2.54, 1 Mn 2.83
Sc6 0.3079 0.3239 0.6318  3 Co 2.52-2.78
Co2 0.3259 0.3259 0.0000  8 Sc 2.54-2.78, 1 Mn 2.79
Sc7 0.6921 0.3239 0.0160  3 Co 2.52-2.78
Sc8 0.9081 0.1824 0.7256  3 Co 2.70-2.76, 1 Mn 2.87
Sc9 0.6921 0.6761 0.3682  3 Co 2.52-2.78
Sc10 0.0919 0.8176 0.2744  3 Co 2.70-2.76, 1 Mn 2.87
Sc11 0.3079 0.6761 0.9840  3 Co 2.52-2.78
Sc12 0.1946 0.4419 0.2472  1 Co 2.54, 1 Mn 2.83
Co3 0.5000 0.1212 0.6212  1 Co 2.24
Co4 0.6741 0.6741 0.0000  8 Sc 2.54-2.78, 1 Mn 2.79
Mn1 0.0000 0.0000 0.0000  2 Co 2.79, 8 Sc 2.83-2.87
Mn2 0.0000 0.5000 0.5000  8 Sc 2.87-3.16

Summary:
Energy of formation from the pure elements   -0.159 eV per atom
Final energy   -6.977 eV per atom

---

[5]
A plane-wave DFT calculation with PBE was carried out for ScMn2Co after structural relaxation.

abc: 4.2578 4.2578 4.2578
angles: 120.04 120.04 89.94
With the nearest neighbours (Å) after each atom.
Sites, in units of the cell vectors:
Mn1 0.0000 0.0000 0.0000  4 Mn 2.61, 4 Co 2.61
Co1 0.2500 0.7500 0.5000  4 Sc 2.61, 4 Mn 2.61
Sc1 0.5000 0.5000 0.0000  4 Mn 2.61, 4 Co 2.61
Mn2 0.7500 0.2500 0.5000  4 Sc 2.61, 4 Mn 2.61

Summary:
Energy of formation from the pure elements   -0.033 eV per atom
Final energy   -7.977 eV per atom
Energy above the most stable polymorph in this dataset   13.9 meV per atom

---

[6]
A plane-wave DFT calculation with PBE was carried out for ScMnCo2 after structural relaxation.

abc: 8.2020 8.2020 8.2020
angles: 19.83 19.83 19.83
With the nearest neighbours (Å) after each atom.
Sites, in units of the cell vectors:
Co1 0.5039 0.5039 0.5039  3 Mn 2.52, 3 Sc 2.66
Co2 0.9961 0.9961 0.9961  3 Mn 2.52, 3 Sc 2.66
Mn1 0.2500 0.2500 0.2500  6 Co 2.52
Sc1 0.7500 0.7500 0.7500  6 Co 2.66, 6 Sc 2.82

Summary:
Energy of formation from the pure elements   0.256 eV per atom
Final energy   -7.172 eV per atom

---

[7]
A plane-wave DFT calculation with PBE was carried out for ScMnCo2 after structural relaxation.

abc: 4.2208 4.2208 4.2208
angles: 60.00 60.00 60.00
With the nearest neighbours (Å) after each atom.
Sites, in units of the cell vectors:
Co1 0.7500 0.7500 0.7500  4 Mn 2.58, 4 Sc 2.58
Co2 0.2500 0.2500 0.2500  4 Mn 2.58, 4 Sc 2.58
Mn1 0.5000 0.5000 0.5000  8 Co 2.58
Sc1 0.0000 0.0000 0.0000  8 Co 2.58

Summary:
Energy of formation from the pure elements   -0.169 eV per atom
Final energy   -7.597 eV per atom

---

[8]
A plane-wave DFT calculation with PBE was carried out for ScMn4Co after structural relaxation.

abc: 4.7436 4.7436 4.7436
angles: 60.00 60.00 60.00
With the nearest neighbours (Å) after each atom.
Sites, in units of the cell vectors:
Mn1 0.8763 0.3746 0.3746  6 Mn 2.36-2.38
Sc1 0.7500 0.7500 0.7500  12 Mn 2.78, 4 Co 2.90
Mn2 0.3746 0.3746 0.3746  6 Mn 2.36-2.38
Mn3 0.3746 0.8763 0.3746  6 Mn 2.36-2.38
Mn4 0.3746 0.3746 0.8763  6 Mn 2.36-2.38
Co1 0.0000 0.0000 0.0000  12 Mn 2.78, 4 Sc 2.90

Summary:
Energy of formation from the pure elements   0.116 eV per atom
Final energy   -8.236 eV per atom

---

[9]
A plane-wave DFT calculation with PBE was carried out for Sc3Mn2Co7 after structural relaxation.

abc: 4.9127 4.9127 8.1990
angles: 72.57 72.57 60.00
With the nearest neighbours (Å) after each atom.
Sites, in units of the cell vectors:
Co1 0.4140 0.9213 0.2506  2 Mn 2.39-2.40, 5 Co 2.40-2.49
Sc1 0.0000 0.0000 0.0000  6 Mn 2.84, 12 Co 3.12
Co2 0.5860 0.0787 0.7494  2 Mn 2.39-2.40, 5 Co 2.40-2.49
Co3 0.5860 0.5860 0.7494  2 Mn 2.39-2.40, 5 Co 2.40-2.49
Sc2 0.1402 0.1402 0.5793  12 Co 2.78-2.90, 3 Sc 3.09
Co4 0.4140 0.4140 0.2506  2 Mn 2.39-2.40, 5 Co 2.40-2.49
Mn1 0.3344 0.3344 0.9968  6 Co 2.39-2.40
Co5 0.9213 0.4140 0.2506  2 Mn 2.39-2.40, 5 Co 2.40-2.49
Sc3 0.8598 0.8598 0.4207  12 Co 2.78-2.90, 3 Sc 3.09
Co6 0.5000 0.5000 0.5000  6 Co 2.40
Co7 0.0787 0.5860 0.7494  2 Mn 2.39-2.40, 5 Co 2.40-2.49
Mn2 0.6656 0.6656 0.0032  6 Co 2.39-2.40

Summary:
Energy of formation from the pure elements   -0.226 eV per atom
Final energy   -7.482 eV per atom

---

[10]
A plane-wave DFT calculation with PBE was carried out for ScMnCo after structural relaxation.

abc: 4.1829 4.1829 2.9676
angles: 90.00 90.00 120.00
With the nearest neighbours (Å) after each atom.
Sites, in units of the cell vectors:
Sc1 0.3333 0.6667 0.6870  3 Co 2.65, 6 Mn 2.73-2.95, 2 Sc 2.97
Co1 0.0000 0.0000 0.0580  3 Mn 2.48, 3 Sc 2.65
Mn1 0.6667 0.3333 0.2550  3 Co 2.48, 3 Sc 2.73

Summary:
Energy of formation from the pure elements   0.005 eV per atom
Final energy   -7.531 eV per atom
Energy above the most stable polymorph in this dataset   255.8 meV per atom

---

[11]
A plane-wave DFT calculation with PBE was carried out for ScMnCo after structural relaxation.

abc: 5.2412 5.2406 3.0791
angles: 72.93 72.91 34.17
With the nearest neighbours (Å) after each atom.
Sites, in units of the cell vectors:
Mn1 0.3570 0.3570 0.6430  4 Co 2.49
Co1 0.9837 0.9837 0.0163  4 Mn 2.49, 4 Sc 2.75
Sc1 0.6593 0.6593 0.3407  4 Co 2.75, 5 Mn 2.88

Summary:
Energy of formation from the pure elements   -0.032 eV per atom
Final energy   -7.568 eV per atom
Energy above the most stable polymorph in this dataset   219.1 meV per atom

---

[12]
A plane-wave DFT calculation with PBE was carried out for ScMnCo after structural relaxation.

abc: 4.2066 4.2066 4.2066
angles: 60.00 60.00 60.00
With the nearest neighbours (Å) after each atom.
Sites, in units of the cell vectors:
Co1 0.0000 0.0000 0.0000  4 Sc 2.58
Sc1 0.7500 0.7500 0.7500  4 Mn 2.58, 4 Co 2.58
Mn1 0.5000 0.5000 0.5000  4 Sc 2.58

Summary:
Energy of formation from the pure elements   0.753 eV per atom
Final energy   -6.782 eV per atom
Energy above the most stable polymorph in this dataset   1004.7 meV per atom

---

[13]
A plane-wave DFT calculation with PBE was carried out for ScMnCo2 after structural relaxation.

abc: 4.2334 4.2334 4.2334
angles: 60.00 60.00 60.00
With the nearest neighbours (Å) after each atom.
Sites, in units of the cell vectors:
Co1 0.0000 0.0000 0.0000  4 Sc 2.59, 4 Co 2.59
Co2 0.2500 0.2500 0.2500  4 Co 2.59, 4 Mn 2.59
Sc1 0.7500 0.7500 0.7500  4 Mn 2.59, 4 Co 2.59
Mn1 0.5000 0.5000 0.5000  4 Co 2.59, 4 Sc 2.59

Summary:
Energy of formation from the pure elements   0.020 eV per atom
Final energy   -7.408 eV per atom